The following is a PBE calculation of AlZn2AsO after structural relaxation, from Alexandria via LeMat-Bulk.

CIF file:
```
data_AlZn2AsO
_cell_length_a 5.222
_cell_length_b 3.392
_cell_length_c 5.222
_cell_angle_alpha 90.00
_cell_angle_beta 90.00
_cell_angle_gamma 90.00
_symmetry_space_group_name_H-M 'P 1'
_symmetry_Int_Tables_number 1
_symmetry_space_group_name_Hall 'P 1'
loop_
_atom_site_label
_atom_site_fract_x
_atom_site_fract_y
_atom_site_fract_z
As1 0.500 0.500 0.500
O1 0.000 0.500 0.000
Zn1 0.000 0.000 0.500
Zn2 0.500 0.000 0.000
Al1 0.000 0.000 0.000
```

Output
**Symmetry**: P4/mmm, No. 123
**VASP energy**: -3.35 eV per atom
**E_form (uncorrected)**: -0.17 eV/atom